VASP calculation (PBE) on an optimized crystal structure of GaSiNiOs.

Cell lengths 2.944, 3.682, 4.927 Å; angles 90.00, 90.00, 90.00 degrees
Fractional positions:
Ga 0.000 0.000 0.000
Si 0.500 0.000 0.526
Ni 0.500 0.500 0.846
Os 0.000 0.500 0.367

Values from the calculation:
* magnetization: 0.00 μB per cell
* energy relative to the elements, uncorrected: -200 meV per atom
* electronic total energy: -6.5651 eV/atom
* excess energy over the best structure of this formula in the dataset: 67.3 meV per atom